1.
The following is a DFT calculation (meta-GGA SCAN) of a PBEsol-optimized structure of SmP2Pd2.

Computed properties:
The calculation puts the energy relative to the elements at -504 kJ/mol of formula units. As for the crystal system: tetragonal. As for the raw total energy: -136.01 eV for the cell shown. The magnetization comes out at 0.0 μB/cell.

abc: 5.702 5.702 5.702
angles: 138.15 138.15 60.67
Atoms (fractional coordinates):
Sm  0.000  0.000  0.000
P  0.388  0.388  0.000
P  0.612  0.612  0.000
Pd  0.250  0.750  0.500
Pd  0.750  0.250  0.500

2.
The following is a DFT calculation (meta-GGA SCAN) of a PBEsol-optimized structure of Sr2P3Pd3.

Computed properties:
The calculation puts the energy relative to the elements at -772 kJ/mol of formula units. As for the crystal system: orthorhombic. As for the raw total energy: -364.15 eV for the cell shown. The magnetization comes out at 0.0 μB/cell.

abc: 17.260 17.260 17.260
angles: 166.16 166.03 19.71
Atoms (fractional coordinates):
Sr  0.073  0.073  0.000
Sr  0.177  0.677  0.500
Sr  0.823  0.323  0.500
Sr  0.927  0.927  0.000
P  0.288  0.788  0.500
P  0.355  0.855  0.500
P  0.460  0.460  0.000
P  0.540  0.540  0.000
P  0.645  0.145  0.500
P  0.712  0.212  0.500
Pd  0.000  0.500  0.500
Pd  0.251  0.251  0.000
Pd  0.390  0.390  0.000
Pd  0.500  0.000  0.500
Pd  0.610  0.610  0.000
Pd  0.749  0.749  0.000

3.
The following is a DFT calculation (meta-GGA SCAN) of a PBEsol-optimized structure of SrP3Pd.

Computed properties:
The calculation puts the energy relative to the elements at 6 kJ/mol of formula units. As for the crystal system: cubic. As for the raw total energy: -86.18 eV for the cell shown. The magnetization comes out at 0.0 μB/cell.

abc: 4.735 4.735 4.735
angles: 90.00 90.00 90.00
Atoms (fractional coordinates):
Sr  0.000  0.000  0.000
P  0.000  0.500  0.500
P  0.500  0.000  0.500
P  0.500  0.500  0.000
Pd  0.500  0.500  0.500

4.
The following is a DFT calculation (meta-GGA SCAN) of a PBEsol-optimized structure of Sr2P2Pd.

Computed properties:
The calculation puts the energy relative to the elements at -311 kJ/mol of formula units. As for the crystal system: tetragonal. As for the raw total energy: -101.35 eV for the cell shown. The magnetization comes out at 0.0 μB/cell.

abc: 5.477 5.477 5.477
angles: 114.60 114.60 99.63
Atoms (fractional coordinates):
Sr  0.250  0.750  0.500
Sr  0.750  0.250  0.500
P  0.168  0.168  0.000
P  0.832  0.832  0.000
Pd  0.500  0.500  0.000